Compound: La8HgGe5
Source: Alexandria
Functional: PBE
Structure: optimized geometry

Structure (POSCAR):
```
La8HgGe5
1.0
7.696 0.000 -2.649
-3.838 6.631 -2.745
-0.019 0.000 8.139
La Ge Hg
8 5 1
Direct
0.637 0.900 0.878
0.263 0.241 0.363
0.978 0.100 0.737
0.123 0.760 0.510
0.122 0.759 0.022
0.490 0.613 0.250
0.637 0.387 0.877
0.750 0.240 0.363
0.005 0.378 0.129
0.751 0.622 0.627
0.373 0.124 0.995
0.500 0.000 0.500
0.871 0.876 0.249
0.250 0.500 0.750
```

Properties
- space-group type = I-4, No. 82
- formation energy (meV/atom) = -747

=====

Compound: TlC3F
Source: Alexandria
Functional: PBE
Structure: optimized geometry

Structure (POSCAR):
```
TlC3F
1.0
4.521 0.000 0.000
0.000 4.521 0.000
0.000 0.000 4.521
C F Tl
3 1 1
Direct
0.000 0.500 0.000
0.500 0.000 0.000
0.000 0.000 0.500
0.500 0.500 0.500
0.000 0.000 0.000
```

Properties
- space-group type = Pm-3m, No. 221
- uncorrected formation energy (eV per atom) = 3.49
- ΔE to the lowest computed polymorph (eV/atom) = 0.3488

=====

Compound: Ir7Ru2Rh2
Source: Alexandria
Functional: PBE
Structure: optimized geometry

Structure (POSCAR):
```
Ir7Ru2Rh2
1.0
-2.412 -0.464 -4.001
1.515 -5.880 0.764
-4.435 -1.687 3.865
Ir Ru Rh
7 2 2
Direct
0.230 0.460 0.460
0.243 0.407 0.053
0.000 0.000 0.000
0.770 0.540 0.540
0.757 0.593 0.947
0.243 0.053 0.407
0.757 0.947 0.593
0.250 0.758 0.758
0.750 0.242 0.242
0.500 0.183 0.817
0.500 0.817 0.183
```

Properties
- space-group type = C2/m, No. 12
- ΔE to the lowest computed polymorph (eV/atom) = 0.0938
- formation energy (meV/atom) = 329

=====

Number 1: volume 415.0 Å³/f.u., final energy -5.2336 eV/atom. Number 2: volume 92.4 Å³/f.u., final energy -2.8869 eV/atom. Number 3: volume 170.6 Å³/f.u., final energy -8.3327 eV/atom.